1.
Tl2InAs2 after structural relaxation. Source: Alexandria, functional PBE-GGA.

```
data_Tl2InAs2
_cell_length_a 6.930
_cell_length_b 6.930
_cell_length_c 6.930
_cell_angle_alpha 137.42
_cell_angle_beta 137.42
_cell_angle_gamma 61.79
_symmetry_space_group_name_H-M 'P 1'
_symmetry_Int_Tables_number 1
loop_
_symmetry_equiv_pos_as_xyz
'x,y,z'
loop_
_atom_site_label
_atom_site_fract_x
_atom_site_fract_y
_atom_site_fract_z
_atom_site_occupancy
Tl1 0.250 0.750 0.500 1
Tl2 0.750 0.250 0.500 1
In1 0.000 0.000 0.000 1
As1 0.399 0.399 0.000 1
As2 0.601 0.601 0.000 1
```

Summary:
Energy of formation from the pure elements (eV per atom): 0.13
Total DFT energy (no corrections) (eV per atom): -3.2278
Spin magnetization (μB per formula unit): 0.00
Relative energy among the computed polymorphs (eV per atom): 0.091
D(E_F) (states/eV/cell): 2.64

=====

2.
Li3Ge after structural relaxation. Source: Alexandria, functional PBE-GGA.

```
data_Li3Ge
_cell_length_a 4.288
_cell_length_b 4.288
_cell_length_c 3.421
_cell_angle_alpha 90.00
_cell_angle_beta 90.00
_cell_angle_gamma 90.00
_symmetry_space_group_name_H-M 'P 1'
_symmetry_Int_Tables_number 1
loop_
_symmetry_equiv_pos_as_xyz
'x,y,z'
loop_
_atom_site_label
_atom_site_fract_x
_atom_site_fract_y
_atom_site_fract_z
_atom_site_occupancy
Li1 0.000 0.000 0.000 1
Li2 0.000 0.500 0.500 1
Li3 0.500 0.000 0.500 1
Ge1 0.500 0.500 0.000 1
```

Summary:
Energy of formation from the pure elements (eV per atom): -0.24
Total DFT energy (no corrections) (eV per atom): -2.8250
Spin magnetization (μB per formula unit): 0.18
Relative energy among the computed polymorphs (eV per atom): 0.090
D(E_F) (states/eV/cell): 1.22

=====

3.
VHg after structural relaxation. Source: Alexandria, functional PBE-GGA.

```
data_VHg
_cell_length_a 8.263
_cell_length_b 7.482
_cell_length_c 5.004
_cell_angle_alpha 80.20
_cell_angle_beta 63.16
_cell_angle_gamma 36.64
_symmetry_space_group_name_H-M 'P 1'
_symmetry_Int_Tables_number 1
loop_
_symmetry_equiv_pos_as_xyz
'x,y,z'
loop_
_atom_site_label
_atom_site_fract_x
_atom_site_fract_y
_atom_site_fract_z
_atom_site_occupancy
V1 0.059 0.059 0.191 1
V2 0.191 0.191 0.059 1
V3 0.809 0.809 0.941 1
V4 0.941 0.941 0.809 1
Hg1 0.210 0.540 0.210 1
Hg2 0.460 0.790 0.460 1
Hg3 0.540 0.210 0.540 1
Hg4 0.790 0.460 0.790 1
```

Summary:
Energy of formation from the pure elements (eV per atom): 0.64
Total DFT energy (no corrections) (eV per atom): -4.0653
Spin magnetization (μB per formula unit): 0.00
D(E_F) (states/eV/cell): 7.30

=====

4.
Nd6DySn10 after structural relaxation. Source: Alexandria, functional PBE-GGA.

```
data_Nd6DySn10
_cell_length_a 9.407
_cell_length_b 9.407
_cell_length_c 6.439
_cell_angle_alpha 90.00
_cell_angle_beta 90.00
_cell_angle_gamma 120.00
_symmetry_space_group_name_H-M 'P 1'
_symmetry_Int_Tables_number 1
loop_
_symmetry_equiv_pos_as_xyz
'x,y,z'
loop_
_atom_site_label
_atom_site_fract_x
_atom_site_fract_y
_atom_site_fract_z
_atom_site_occupancy
Nd1 0.000 0.391 0.233 1
Nd2 0.000 0.609 0.767 1
Nd3 0.391 0.000 0.233 1
Nd4 0.391 0.391 0.767 1
Nd5 0.609 0.000 0.767 1
Nd6 0.609 0.609 0.233 1
Dy1 0.000 0.000 0.000 1
Sn1 0.000 0.250 0.684 1
Sn2 0.000 0.750 0.316 1
Sn3 0.250 0.000 0.684 1
Sn4 0.250 0.250 0.316 1
Sn5 0.333 0.667 0.000 1
Sn6 0.333 0.667 0.500 1
Sn7 0.667 0.333 0.000 1
Sn8 0.667 0.333 0.500 1
Sn9 0.750 0.000 0.316 1
Sn10 0.750 0.750 0.684 1
```

Summary:
Energy of formation from the pure elements (eV per atom): -0.56
Total DFT energy (no corrections) (eV per atom): -4.8717
Spin magnetization (μB per formula unit): 0.00
D(E_F) (states/eV/cell): 11.92

=====

5.
YHfMgPb2 after structural relaxation. Source: Alexandria, functional PBE-GGA.

```
data_YHfMgPb2
_cell_length_a 5.526
_cell_length_b 5.526
_cell_length_c 5.393
_cell_angle_alpha 90.00
_cell_angle_beta 90.00
_cell_angle_gamma 90.00
_symmetry_space_group_name_H-M 'P 1'
_symmetry_Int_Tables_number 1
loop_
_symmetry_equiv_pos_as_xyz
'x,y,z'
loop_
_atom_site_label
_atom_site_fract_x
_atom_site_fract_y
_atom_site_fract_z
_atom_site_occupancy
Y1 0.000 0.000 0.000 1
Hf1 0.500 0.500 0.500 1
Mg1 0.500 0.500 0.000 1
Pb1 0.000 0.500 0.500 1
Pb2 0.500 0.000 0.500 1
```

Summary:
Energy of formation from the pure elements (eV per atom): 0.46
Total DFT energy (no corrections) (eV per atom): -4.6295
Spin magnetization (μB per formula unit): 0.32
D(E_F) (states/eV/cell): 3.46

=====

6.
HfGePd5 after structural relaxation. Source: Alexandria, functional PBE-GGA.

```
data_HfGePd5
_cell_length_a 6.358
_cell_length_b 6.358
_cell_length_c 7.198
_cell_angle_alpha 110.60
_cell_angle_beta 110.60
_cell_angle_gamma 101.69
_symmetry_space_group_name_H-M 'P 1'
_symmetry_Int_Tables_number 1
loop_
_symmetry_equiv_pos_as_xyz
'x,y,z'
loop_
_atom_site_label
_atom_site_fract_x
_atom_site_fract_y
_atom_site_fract_z
_atom_site_occupancy
Hf1 0.056 0.944 0.750 1
Hf2 0.944 0.056 0.250 1
Ge1 0.500 0.500 0.000 1
Ge2 0.500 0.500 0.500 1
Pd1 0.047 0.707 0.350 1
Pd2 0.177 0.378 0.110 1
Pd3 0.293 0.953 0.150 1
Pd4 0.325 0.675 0.750 1
Pd5 0.378 0.177 0.610 1
Pd6 0.622 0.823 0.390 1
Pd7 0.675 0.325 0.250 1
Pd8 0.707 0.047 0.850 1
Pd9 0.823 0.622 0.890 1
Pd10 0.953 0.293 0.650 1
```

Summary:
Energy of formation from the pure elements (eV per atom): -0.44
Total DFT energy (no corrections) (eV per atom): -6.2327
Spin magnetization (μB per formula unit): 0.00
Relative energy among the computed polymorphs (eV per atom): 0.291
D(E_F) (states/eV/cell): 6.52

=====

7.
Ac8CoNi3Br4 after structural relaxation. Source: Alexandria, functional PBE-GGA.

```
data_Ac8CoNi3Br4
_cell_length_a 8.601
_cell_length_b 8.601
_cell_length_c 9.621
_cell_angle_alpha 116.60
_cell_angle_beta 116.60
_cell_angle_gamma 60.02
_symmetry_space_group_name_H-M 'P 1'
_symmetry_Int_Tables_number 1
loop_
_symmetry_equiv_pos_as_xyz
'x,y,z'
loop_
_atom_site_label
_atom_site_fract_x
_atom_site_fract_y
_atom_site_fract_z
_atom_site_occupancy
Ac1 0.228 0.228 0.692 1
Ac2 0.228 0.736 0.692 1
Ac3 0.264 0.772 0.308 1
Ac4 0.269 0.269 0.308 1
Ac5 0.731 0.731 0.692 1
Ac6 0.736 0.228 0.692 1
Ac7 0.772 0.264 0.308 1
Ac8 0.772 0.772 0.308 1
Co1 0.000 0.000 0.500 1
Ni1 0.000 0.500 0.500 1
Ni2 0.500 0.000 0.500 1
Ni3 0.500 0.500 0.500 1
Br1 0.000 0.000 0.000 1
Br2 0.000 0.500 0.000 1
Br3 0.500 0.000 0.000 1
Br4 0.500 0.500 0.000 1
```

Summary:
Total DFT energy (no corrections) (eV per atom): -4.8277
Spin magnetization (μB per formula unit): 0.00
Raw formation energy (eV/atom): -0.827
D(E_F) (states/eV/cell): 13.22

=====

8.
Tm2CuSe4 after structural relaxation. Source: Alexandria, functional PBE-GGA.

```
data_Tm2CuSe4
_cell_length_a 6.974
_cell_length_b 5.771
_cell_length_c 7.978
_cell_angle_alpha 90.00
_cell_angle_beta 106.45
_cell_angle_gamma 90.00
_symmetry_space_group_name_H-M 'P 1'
_symmetry_Int_Tables_number 1
loop_
_symmetry_equiv_pos_as_xyz
'x,y,z'
loop_
_atom_site_label
_atom_site_fract_x
_atom_site_fract_y
_atom_site_fract_z
_atom_site_occupancy
Tm1 0.224 0.250 0.428 1
Tm2 0.243 0.250 0.936 1
Tm3 0.757 0.750 0.064 1
Tm4 0.776 0.750 0.572 1
Cu1 0.235 0.750 0.682 1
Cu2 0.765 0.250 0.318 1
Se1 0.065 0.750 0.380 1
Se2 0.071 0.750 0.903 1
Se3 0.483 0.509 0.247 1
Se4 0.483 0.991 0.247 1
Se5 0.517 0.009 0.753 1
Se6 0.517 0.491 0.753 1
Se7 0.929 0.250 0.097 1
Se8 0.935 0.250 0.620 1
```

Summary:
Total DFT energy (no corrections) (eV per atom): -5.1198
Spin magnetization (μB per formula unit): 0.00
Raw formation energy (eV/atom): -1.266
D(E_F) (states/eV/cell): 2.79

=====

9.
CaHgAu2 after structural relaxation. Source: Alexandria, functional PBE-GGA.

```
data_CaHgAu2
_cell_length_a 3.740
_cell_length_b 4.490
_cell_length_c 5.826
_cell_angle_alpha 90.00
_cell_angle_beta 108.25
_cell_angle_gamma 90.00
_symmetry_space_group_name_H-M 'P 1'
_symmetry_Int_Tables_number 1
loop_
_symmetry_equiv_pos_as_xyz
'x,y,z'
loop_
_atom_site_label
_atom_site_fract_x
_atom_site_fract_y
_atom_site_fract_z
_atom_site_occupancy
Ca1 0.000 0.000 0.000 1
Hg1 0.686 0.500 0.369 1
Au1 0.270 0.000 0.537 1
Au2 0.422 0.500 0.840 1
```

Summary:
Energy of formation from the pure elements (eV per atom): -0.46
Total DFT energy (no corrections) (eV per atom): -2.6776
Spin magnetization (μB per formula unit): 0.00
D(E_F) (states/eV/cell): 1.37

=====

10.
LiVH2 after structural relaxation. Source: Alexandria, functional PBE-GGA.

```
data_LiVH2
_cell_length_a 5.228
_cell_length_b 5.228
_cell_length_c 5.228
_cell_angle_alpha 30.21
_cell_angle_beta 30.21
_cell_angle_gamma 30.21
_symmetry_space_group_name_H-M 'P 1'
_symmetry_Int_Tables_number 1
loop_
_symmetry_equiv_pos_as_xyz
'x,y,z'
loop_
_atom_site_label
_atom_site_fract_x
_atom_site_fract_y
_atom_site_fract_z
_atom_site_occupancy
Li1 0.000 0.000 0.000 1
V1 0.176 0.176 0.176 1
H1 0.579 0.579 0.579 1
H2 0.773 0.773 0.773 1
```

Summary:
Total DFT energy (no corrections) (eV per atom): -4.5831
Spin magnetization (μB per formula unit): 0.00
Relative energy among the computed polymorphs (eV per atom): 0.053
D(E_F) (states/eV/cell): 2.18

=====

11.
KLiGa3 after structural relaxation. Source: Alexandria, functional PBE-GGA.

```
data_KLiGa3
_cell_length_a 6.453
_cell_length_b 4.545
_cell_length_c 7.907
_cell_angle_alpha 90.00
_cell_angle_beta 114.03
_cell_angle_gamma 90.00
_symmetry_space_group_name_H-M 'P 1'
_symmetry_Int_Tables_number 1
loop_
_symmetry_equiv_pos_as_xyz
'x,y,z'
loop_
_atom_site_label
_atom_site_fract_x
_atom_site_fract_y
_atom_site_fract_z
_atom_site_occupancy
K1 0.079 0.250 0.157 1
K2 0.921 0.750 0.843 1
Li1 0.346 0.750 0.693 1
Li2 0.654 0.250 0.307 1
Ga1 0.060 0.250 0.597 1
Ga2 0.451 0.250 0.902 1
Ga3 0.463 0.750 0.403 1
Ga4 0.537 0.250 0.597 1
Ga5 0.549 0.750 0.098 1
Ga6 0.940 0.750 0.403 1
```

Summary:
Energy of formation from the pure elements (eV per atom): -0.19
Total DFT energy (no corrections) (eV per atom): -2.6046
Spin magnetization (μB per formula unit): 0.00
Relative energy among the computed polymorphs (eV per atom): 0.000
D(E_F) (states/eV/cell): 2.37

=====

12.
Pm5Tl2Rh after structural relaxation. Source: Alexandria, functional PBE-GGA.

```
data_Pm5Tl2Rh
_cell_length_a 6.767
_cell_length_b 6.775
_cell_length_c 6.775
_cell_angle_alpha 118.57
_cell_angle_beta 105.02
_cell_angle_gamma 105.17
_symmetry_space_group_name_H-M 'P 1'
_symmetry_Int_Tables_number 1
loop_
_symmetry_equiv_pos_as_xyz
'x,y,z'
loop_
_atom_site_label
_atom_site_fract_x
_atom_site_fract_y
_atom_site_fract_z
_atom_site_occupancy
Pm1 0.000 0.000 0.000 1
Pm2 0.000 0.136 0.582 1
Pm3 0.000 0.554 0.445 1
Pm4 0.446 0.001 0.446 1
Pm5 0.554 0.556 0.001 1
Tl1 0.500 0.029 0.973 1
Tl2 0.500 0.528 0.475 1
Rh1 0.000 0.632 0.077 1
```

Summary:
Energy of formation from the pure elements (eV per atom): -0.25
Total DFT energy (no corrections) (eV per atom): -4.7308
Spin magnetization (μB per formula unit): 0.00
Relative energy among the computed polymorphs (eV per atom): 0.173
D(E_F) (states/eV/cell): 9.44